## MnIn2Sb (GGA-PBE)

Data for MnIn2Sb after structural relaxation.

## Properties
DOS at the Fermi energy (states/eV per atom): 0.515
Energy (eV/atom): -4.51
Space-group type: R3m (160)
ρ (g/cm³): 7.1

abc: 8.7954 8.7954 8.7954
angles: 23.58 23.58 23.58
Atoms (fractional coordinates):
Mn  0.0000  0.0000  0.0000
In  0.2588  0.2588  0.2588
In  0.4957  0.4957  0.4957
Sb  0.7309  0.7309  0.7309



## MnIn2Sb (GGA-PBE)

Data for MnIn2Sb after structural relaxation.

## Properties
DOS at the Fermi energy (states/eV per atom): 0.614
Energy (eV/atom): -4.53
Space-group type: Immm (71)
ρ (g/cm³): 6.8

abc: 7.3709 7.3709 7.3709
angles: 154.15 145.54 43.58
Atoms (fractional coordinates):
Mn  0.0000  0.0000  0.0000
In  0.1847  0.6847  0.5000
In  0.8153  0.3153  0.5000
Sb  0.5000  0.5000  0.0000



## MnIn2Sb (GGA-PBE)

Data for MnIn2Sb after structural relaxation.

## Properties
DOS at the Fermi energy (states/eV per atom): 0.466
Energy (eV/atom): -4.44
Space-group type: P4/mmm (123)
ρ (g/cm³): 7.0

abc: 4.2344 4.2344 5.3431
angles: 90.00 90.00 90.00
Atoms (fractional coordinates):
Mn  0.0000  0.0000  0.0000
In  0.0000  0.5000  0.5000
In  0.5000  0.0000  0.5000
Sb  0.5000  0.5000  0.0000



## Mn2InSb (GGA-PBE)

Data for Mn2InSb after structural relaxation.

## Properties
DOS at the Fermi energy (states/eV per atom): 0.707
Energy (eV/atom): -6.02
Space-group type: Pmmm (47)
ρ (g/cm³): 7.8

abc: 3.9231 4.3279 4.3623
angles: 90.00 90.00 90.00
Atoms (fractional coordinates):
Mn  0.0000  0.0000  0.0000
Mn  0.0000  0.5000  0.5000
In  0.5000  0.0000  0.5000
Sb  0.5000  0.5000  0.0000



## Mn2InSb (GGA-PBE)

Data for Mn2InSb after structural relaxation.

## Properties
DOS at the Fermi energy (states/eV per atom): 2.305
Energy (eV/atom): -5.78
Space-group type: Fm-3m (225)
ρ (g/cm³): 9.2

abc: 4.4573 4.4573 4.4573
angles: 60.00 60.00 60.00
Atoms (fractional coordinates):
Mn  0.2500  0.2500  0.2500
Mn  0.7500  0.7500  0.7500
In  0.0000  0.0000  0.0000
Sb  0.5000  0.5000  0.5000



## MnIn2Sb (GGA-PBE)

Data for MnIn2Sb after structural relaxation.

## Properties
DOS at the Fermi energy (states/eV per atom): 0.720
Energy (eV/atom): -4.55
Space-group type: Imm2 (44)
ρ (g/cm³): 7.1

abc: 7.1045 7.1045 7.1045
angles: 154.99 141.34 46.59
Atoms (fractional coordinates):
Mn  0.0000  0.0000  0.0000
In  0.4930  0.4930  0.0000
In  0.8143  0.3143  0.5000
Sb  0.1785  0.6785  0.5000